1.
Entry from Alexandria via LeMat-Bulk: a relaxed In3Ga2F9 crystal (PBE).

Properties
ΔE_f (raw) = -2.2103 eV/atom
space group = No. 167

Cell and atoms, written as extended XYZ:
```
28
Lattice="7.836 0.015 0.718 0.656 7.808 0.718 0.017 0.015 7.869" Properties=species:S:1:pos:R:3 pbc="T T T"
In 3.510 5.864 1.721
In 2.550 6.922 5.655
In 7.341 4.821 3.044
In 1.168 3.018 6.260
In 5.959 0.917 3.649
In 4.999 1.975 7.583
Ga 1.312 1.209 1.435
Ga 5.566 5.128 6.086
Ga 7.197 6.630 7.869
Ga 2.943 2.711 3.217
F 6.499 7.012 1.690
F 1.430 7.312 2.680
F 2.215 3.027 1.347
F 5.226 5.840 4.397
F 5.398 6.946 6.978
F 7.452 5.879 5.999
F 2.369 4.416 3.707
F 4.686 3.108 2.690
F 7.495 1.935 1.663
F 1.013 5.904 7.641
F 3.823 4.731 6.614
F 3.110 0.893 2.326
F 6.140 3.423 5.597
F 1.056 1.960 3.305
F 3.283 1.999 4.907
F 6.294 4.812 7.957
F 7.079 0.527 6.624
F 2.010 0.827 7.614
```

=====

2.
Entry from Alexandria via LeMat-Bulk: a relaxed Rb2BeBF6 crystal (PBE).

Properties
ΔE_f (raw) = -2.2421 eV/atom
space group = No. 139

Cell and atoms, written as extended XYZ:
```
10
Lattice="6.196 0.000 0.000 0.000 6.196 0.000 3.098 3.098 4.036" Properties=species:S:1:pos:R:3 pbc="T T T"
Be 3.098 3.098 0.000
B 0.000 0.000 0.000
Rb 6.196 3.098 2.018
Rb 3.098 6.196 2.018
F 3.098 3.098 2.640
F 6.196 6.196 1.396
F 1.920 1.920 0.000
F 4.276 4.276 0.000
F 4.276 1.920 0.000
F 1.920 4.276 0.000
```

=====

Question: The highest ΔE_f (raw) belongs to which entry?
Answer: In3Ga2F9